Entry 1:
## Li4TaIn (PBE)

Data for a relaxed structure of Li4TaIn.

```
data_Li4TaIn
_symmetry_space_group_name_H-M 'F -4 3 m'
_symmetry_Int_Tables_number 216
_symmetry_space_group_name_Hall 'F -4 2 3'
_cell_length_a 7.337
_cell_length_b 7.337
_cell_length_c 7.337
_cell_angle_alpha 90.00
_cell_angle_beta 90.00
_cell_angle_gamma 90.00
loop_
_atom_site_label
_atom_site_type_symbol
_atom_site_fract_x
_atom_site_fract_y
_atom_site_fract_z
Li1 Li 0.124 0.124 0.124
Ta1 Ta 0.250 0.250 0.750
In1 In 0.000 0.000 0.500
```

Summary:
ΔH_f (0 K)   0.32 eV/atom
Total magnetic moment   0.347 μB/atom



Entry 2:
## LiTa4In (PBE)

Data for a relaxed structure of LiTa4In.

```
data_LiTa4In
_symmetry_space_group_name_H-M 'F -4 3 m'
_symmetry_Int_Tables_number 216
_symmetry_space_group_name_Hall 'F -4 2 3'
_cell_length_a 7.829
_cell_length_b 7.829
_cell_length_c 7.829
_cell_angle_alpha 90.00
_cell_angle_beta 90.00
_cell_angle_gamma 90.00
loop_
_atom_site_label
_atom_site_type_symbol
_atom_site_fract_x
_atom_site_fract_y
_atom_site_fract_z
Li1 Li 0.000 0.000 0.000
Ta1 Ta 0.126 0.126 0.626
In1 In 0.250 0.250 0.250
```

Summary:
ΔH_f (0 K)   0.49 eV/atom
Total magnetic moment   0.000 μB/atom



Entry 3:
## Li2TaIn2 (PBE)

Data for a relaxed structure of Li2TaIn2.

```
data_Li2TaIn2
_symmetry_space_group_name_H-M 'I 4/m m m'
_symmetry_Int_Tables_number 139
_symmetry_space_group_name_Hall '-I 4 2'
_cell_length_a 3.756
_cell_length_b 3.756
_cell_length_c 13.601
_cell_angle_alpha 90.00
_cell_angle_beta 90.00
_cell_angle_gamma 90.00
loop_
_atom_site_label
_atom_site_type_symbol
_atom_site_fract_x
_atom_site_fract_y
_atom_site_fract_z
Li1 Li 0.000 0.500 0.250
Ta1 Ta 0.000 0.000 0.000
In1 In 0.000 0.000 0.397
```

Summary:
ΔH_f (0 K)   0.25 eV/atom
Total magnetic moment   0.000 μB/atom
Offset from the most stable computed form   172 meV per atom



Entry 4:
## LiTaIn2 (PBE)

Data for a relaxed structure of LiTaIn2.

```
data_LiTaIn2
_symmetry_space_group_name_H-M 'F m -3 m'
_symmetry_Int_Tables_number 225
_symmetry_space_group_name_Hall '-F 4 2 3'
_cell_length_a 6.839
_cell_length_b 6.839
_cell_length_c 6.839
_cell_angle_alpha 90.00
_cell_angle_beta 90.00
_cell_angle_gamma 90.00
loop_
_atom_site_label
_atom_site_type_symbol
_atom_site_fract_x
_atom_site_fract_y
_atom_site_fract_z
Li1 Li 0.000 0.000 0.000
Ta1 Ta 0.000 0.000 0.500
In1 In 0.250 0.250 0.250
```

Summary:
ΔH_f (0 K)   0.28 eV/atom
Total magnetic moment   0.293 μB/atom
Offset from the most stable computed form   274 meV per atom



Entry 5:
## LiTaIn3 (PBE)

Data for a relaxed structure of LiTaIn3.

```
data_LiTaIn3
_symmetry_space_group_name_H-M 'P m -3 m'
_symmetry_Int_Tables_number 221
_symmetry_space_group_name_Hall '-P 4 2 3'
_cell_length_a 5.431
_cell_length_b 5.431
_cell_length_c 5.431
_cell_angle_alpha 90.00
_cell_angle_beta 90.00
_cell_angle_gamma 90.00
loop_
_atom_site_label
_atom_site_type_symbol
_atom_site_fract_x
_atom_site_fract_y
_atom_site_fract_z
Li1 Li 0.000 0.000 0.000
Ta1 Ta 0.500 0.500 0.500
In1 In 0.000 0.500 0.500
```

Summary:
ΔH_f (0 K)   0.52 eV/atom
Total magnetic moment   0.000 μB/atom
Offset from the most stable computed form   0 meV per atom



Entry 6:
## LiTaVIn2 (PBE)

Data for a relaxed structure of LiTaVIn2.

```
data_LiTaVIn2
_symmetry_space_group_name_H-M 'P 4/m m m'
_symmetry_Int_Tables_number 123
_symmetry_space_group_name_Hall '-P 4 2'
_cell_length_a 4.475
_cell_length_b 4.475
_cell_length_c 4.475
_cell_angle_alpha 90.00
_cell_angle_beta 90.00
_cell_angle_gamma 90.00
loop_
_atom_site_label
_atom_site_type_symbol
_atom_site_fract_x
_atom_site_fract_y
_atom_site_fract_z
Li1 Li 0.000 0.000 0.000
Ta1 Ta 0.500 0.500 0.500
V1 V 0.000 0.000 0.500
In1 In 0.000 0.500 0.000
```

Summary:
ΔH_f (0 K)   0.91 eV/atom
Total magnetic moment   0.000 μB/atom



Entry 7:
## Li2TaInW (PBE)

Data for a relaxed structure of Li2TaInW.

```
data_Li2TaInW
_symmetry_space_group_name_H-M 'P 4/m m m'
_symmetry_Int_Tables_number 123
_symmetry_space_group_name_Hall '-P 4 2'
_cell_length_a 4.516
_cell_length_b 4.516
_cell_length_c 5.143
_cell_angle_alpha 90.00
_cell_angle_beta 90.00
_cell_angle_gamma 90.00
loop_
_atom_site_label
_atom_site_type_symbol
_atom_site_fract_x
_atom_site_fract_y
_atom_site_fract_z
Li1 Li 0.000 0.500 0.000
Ta1 Ta 0.000 0.000 0.500
In1 In 0.500 0.500 0.500
W1 W 0.500 0.500 0.000
```

Summary:
ΔH_f (0 K)   1.89 eV/atom
Total magnetic moment   0.171 μB/atom



Entry 8:
## LiTb3In4 (PBE)

Data for a relaxed structure of LiTb3In4.

```
data_LiTb3In4
_symmetry_space_group_name_H-M 'P 4/m m m'
_symmetry_Int_Tables_number 123
_symmetry_space_group_name_Hall '-P 4 2'
_cell_length_a 3.508
_cell_length_b 3.508
_cell_length_c 16.176
_cell_angle_alpha 90.00
_cell_angle_beta 90.00
_cell_angle_gamma 90.00
loop_
_atom_site_label
_atom_site_type_symbol
_atom_site_fract_x
_atom_site_fract_y
_atom_site_fract_z
Li1 Li 0.000 0.000 0.000
Tb1 Tb 0.000 0.000 0.232
Tb2 Tb 0.000 0.000 0.500
In1 In 0.500 0.500 0.096
In2 In 0.500 0.500 0.365
```

Summary:
ΔH_f (0 K)   -0.44 eV/atom
Total magnetic moment   0.027 μB/atom



DFT total energy
In order: -3.384, -8.184, -3.979, -4.532, -3.875, -4.759, -4.380, -3.781
Unit: eV/atom